Record 1
Below is Pa2BiPd after structural relaxation, with properties calculated at the GGA-PBE level.

Cell: 3.8552 3.8552 6.5600 Å, 90.00 90.00 90.00°
Atoms (fractional coordinates):
Pa 0.0000 0.0000 0.2186
Pa 0.0000 0.0000 0.7814
Bi 0.5000 0.5000 0.5000
Pd 0.5000 0.5000 0.0000

Properties
ΔE_f = -0.18 eV per atom
polymorph energy (0 for the lowest one) = 0.003 eV per atom
DOS at the Fermi energy = 1.812 states/eV/atom
ρ = 13242 kg/m³

Record 2
Below is PaBi2Pd8 after structural relaxation, with properties calculated at the GGA-PBE level.

Cell: 5.4146 5.4602 7.1328 Å, 96.78 99.28 94.87°
Atoms (fractional coordinates):
Pa 0.0000 0.0000 0.0000
Bi 0.3081 0.3701 0.6525
Bi 0.6919 0.6299 0.3475
Pd 0.1343 0.8511 0.6314
Pd 0.1373 0.4981 0.1865
Pd 0.3412 0.0252 0.3136
Pd 0.4535 0.7467 0.9727
Pd 0.5465 0.2533 0.0273
Pd 0.6588 0.9748 0.6864
Pd 0.8627 0.5019 0.8135
Pd 0.8657 0.1489 0.3686

Properties
ΔE_f = -0.44 eV per atom
DOS at the Fermi energy = 0.423 states/eV/atom
ρ = 12124 kg/m³

Record 3
Below is PmPaBiPd after structural relaxation, with properties calculated at the GGA-PBE level.

Cell: 7.5086 7.5086 7.5086 Å, 90.00 90.00 90.00°
Atoms (fractional coordinates):
Pm 0.0000 0.0000 0.0000
Pm 0.0000 0.5000 0.5000
Pm 0.5000 0.0000 0.5000
Pm 0.5000 0.5000 0.0000
Pa 0.0000 0.0000 0.5000
Pa 0.0000 0.5000 0.0000
Pa 0.5000 0.0000 0.0000
Pa 0.5000 0.5000 0.5000
Bi 0.2500 0.2500 0.7500
Bi 0.2500 0.7500 0.2500
Bi 0.7500 0.2500 0.2500
Bi 0.7500 0.7500 0.7500
Pd 0.2500 0.2500 0.2500
Pd 0.2500 0.7500 0.7500
Pd 0.7500 0.2500 0.7500
Pd 0.7500 0.7500 0.2500

Properties
ΔE_f = -0.27 eV per atom
DOS at the Fermi energy = 1.882 states/eV/atom
ρ = 10849 kg/m³

Record 4
Below is PaBiPdPt after structural relaxation, with properties calculated at the GGA-PBE level.

Cell: 6.9945 6.9945 6.9945 Å, 90.00 90.00 90.00°
Atoms (fractional coordinates):
Pa 0.0000 0.0000 0.0000
Pa 0.0000 0.5000 0.5000
Pa 0.5000 0.0000 0.5000
Pa 0.5000 0.5000 0.0000
Bi 0.0000 0.0000 0.5000
Bi 0.0000 0.5000 0.0000
Bi 0.5000 0.0000 0.0000
Bi 0.5000 0.5000 0.5000
Pd 0.2500 0.2500 0.7500
Pd 0.2500 0.7500 0.2500
Pd 0.7500 0.2500 0.2500
Pd 0.7500 0.7500 0.7500
Pt 0.2500 0.2500 0.2500
Pt 0.2500 0.7500 0.7500
Pt 0.7500 0.2500 0.7500
Pt 0.7500 0.7500 0.2500

Properties
ΔE_f = -0.57 eV per atom
DOS at the Fermi energy = 0.493 states/eV/atom
ρ = 14394 kg/m³

Record 5
Below is PaBiPdRh after structural relaxation, with properties calculated at the GGA-PBE level.

Cell: 6.9259 6.9259 6.9259 Å, 90.00 90.00 90.00°
Atoms (fractional coordinates):
Pa 0.0000 0.0000 0.0000
Pa 0.0000 0.5000 0.5000
Pa 0.5000 0.0000 0.5000
Pa 0.5000 0.5000 0.0000
Bi 0.0000 0.0000 0.5000
Bi 0.0000 0.5000 0.0000
Bi 0.5000 0.0000 0.0000
Bi 0.5000 0.5000 0.5000
Pd 0.2500 0.2500 0.2500
Pd 0.2500 0.7500 0.7500
Pd 0.7500 0.2500 0.7500
Pd 0.7500 0.7500 0.2500
Rh 0.2500 0.2500 0.7500
Rh 0.2500 0.7500 0.2500
Rh 0.7500 0.2500 0.2500
Rh 0.7500 0.7500 0.7500

Properties
ΔE_f = -0.44 eV per atom
DOS at the Fermi energy = 1.263 states/eV/atom
ρ = 12983 kg/m³

Record 6
Below is PaBiPdRu after structural relaxation, with properties calculated at the GGA-PBE level.

Cell: 6.9131 6.9131 6.9131 Å, 90.00 90.00 90.00°
Atoms (fractional coordinates):
Pa 0.0000 0.0000 0.0000
Pa 0.0000 0.5000 0.5000
Pa 0.5000 0.0000 0.5000
Pa 0.5000 0.5000 0.0000
Bi 0.0000 0.0000 0.5000
Bi 0.0000 0.5000 0.0000
Bi 0.5000 0.0000 0.0000
Bi 0.5000 0.5000 0.5000
Pd 0.2500 0.2500 0.2500
Pd 0.2500 0.7500 0.7500
Pd 0.7500 0.2500 0.7500
Pd 0.7500 0.7500 0.2500
Ru 0.2500 0.2500 0.7500
Ru 0.2500 0.7500 0.2500
Ru 0.7500 0.2500 0.2500
Ru 0.7500 0.7500 0.7500

Properties
ΔE_f = -0.20 eV per atom
DOS at the Fermi energy = 1.360 states/eV/atom
ρ = 13018 kg/m³

Record 7
Below is PaBiPdS4 after structural relaxation, with properties calculated at the GGA-PBE level.

Cell: 6.5496 6.1922 8.1158 Å, 90.00 108.09 90.00°
Atoms (fractional coordinates):
Pa 0.2305 0.2500 0.0406
Pa 0.7695 0.7500 0.9594
Bi 0.2865 0.2500 0.5265
Bi 0.7135 0.7500 0.4735
Pd 0.2338 0.7500 0.8628
Pd 0.7662 0.2500 0.1372
S 0.0431 0.5129 0.2224
S 0.0431 0.9871 0.2224
S 0.4223 0.7500 0.6322
S 0.4870 0.7500 0.1337
S 0.5130 0.2500 0.8663
S 0.5777 0.2500 0.3678
S 0.9569 0.0129 0.7776
S 0.9569 0.4871 0.7776

Properties
DOS at the Fermi energy = 0.400 states/eV/atom
formation energy (no corrections) = -0.765 eV per atom
ρ = 7162 kg/m³

Record 8
Below is PaZnBiPd after structural relaxation, with properties calculated at the GGA-PBE level.

Cell: 7.0265 7.0265 7.0265 Å, 90.00 90.00 90.00°
Atoms (fractional coordinates):
Pa 0.0000 0.0000 0.0000
Pa 0.0000 0.5000 0.5000
Pa 0.5000 0.0000 0.5000
Pa 0.5000 0.5000 0.0000
Zn 0.2500 0.2500 0.7500
Zn 0.2500 0.7500 0.2500
Zn 0.7500 0.2500 0.2500
Zn 0.7500 0.7500 0.7500
Bi 0.0000 0.0000 0.5000
Bi 0.0000 0.5000 0.0000
Bi 0.5000 0.0000 0.0000
Bi 0.5000 0.5000 0.5000
Pd 0.2500 0.2500 0.2500
Pd 0.2500 0.7500 0.7500
Pd 0.7500 0.2500 0.7500
Pd 0.7500 0.7500 0.2500

Properties
ΔE_f = -0.18 eV per atom
DOS at the Fermi energy = 1.257 states/eV/atom
ρ = 11715 kg/m³

Record 9
Below is PmPaBi after structural relaxation, with properties calculated at the GGA-PBE level.

Cell: 4.0795 4.0795 10.8367 Å, 90.00 90.00 90.00°
Atoms (fractional coordinates):
Pm 0.0000 0.0000 0.0000
Pm 0.5000 0.5000 0.5000
Pa 0.0000 0.0000 0.6939
Pa 0.5000 0.5000 0.1939
Bi 0.0000 0.0000 0.3463
Bi 0.5000 0.5000 0.8463

Properties
ΔE_f = -0.03 eV per atom
polymorph energy (0 for the lowest one) = 0.017 eV per atom
DOS at the Fermi energy = 2.087 states/eV/atom
ρ = 10773 kg/m³

Record 10
Below is PmPaBi after structural relaxation, with properties calculated at the GGA-PBE level.

Cell: 5.5264 5.5264 3.4021 Å, 90.00 90.00 120.00°
Atoms (fractional coordinates):
Pm 0.0000 0.0000 0.0000
Pa 0.6667 0.3333 0.4626
Bi 0.3333 0.6667 0.7387

Properties
ΔE_f = 0.12 eV per atom
polymorph energy (0 for the lowest one) = 0.171 eV per atom
DOS at the Fermi energy = 2.157 states/eV/atom
ρ = 10796 kg/m³

Record 11
Below is Pm3PaBi4 after structural relaxation, with properties calculated at the GGA-PBE level.

Cell: 9.1416 12.8612 4.5399 Å, 90.00 90.00 90.00°
Atoms (fractional coordinates):
Pm 0.0000 0.0000 0.0000
Pm 0.2500 0.2500 0.5000
Pm 0.2500 0.7500 0.5000
Pm 0.5000 0.5000 0.0000
Pm 0.7500 0.2500 0.5000
Pm 0.7500 0.7500 0.5000
Pa 0.0000 0.5000 0.0000
Pa 0.5000 0.0000 0.0000
Bi 0.0000 0.2532 0.0000
Bi 0.0000 0.7468 0.0000
Bi 0.2459 0.5000 0.5000
Bi 0.2541 0.0000 0.5000
Bi 0.5000 0.2468 0.0000
Bi 0.5000 0.7532 0.0000
Bi 0.7459 0.0000 0.5000
Bi 0.7541 0.5000 0.5000

Properties
ΔE_f = -0.72 eV per atom
DOS at the Fermi energy = 0.934 states/eV/atom
ρ = 9345 kg/m³

Record 12
Below is Pm4PaBi5 after structural relaxation, with properties calculated at the GGA-PBE level.

Cell: 7.8900 7.8900 7.8900 Å, 99.60 99.60 131.80°
Atoms (fractional coordinates):
Pm 0.0976 0.3020 0.3996
Pm 0.3020 0.9024 0.2044
Pm 0.6980 0.0976 0.7956
Pm 0.9024 0.6980 0.6004
Pa 0.5000 0.5000 0.0000
Bi 0.0000 0.0000 0.0000
Bi 0.2059 0.5985 0.8044
Bi 0.4015 0.2059 0.6074
Bi 0.5985 0.7941 0.3926
Bi 0.7941 0.4015 0.1956

Properties
ΔE_f = -0.77 eV per atom
DOS at the Fermi energy = 0.789 states/eV/atom
ρ = 9221 kg/m³